Ho2IrRh3 | the Alexandria database | PBE | relaxed; DOS(E_F) = 0.7019 states/eV/atom; energy relative to the elements = -773 meV per atom; electronic total energy = -7.45 eV/atom; mass density = 12.88 g cm⁻³; excess energy over the best structure of this formula in the dataset = 0.000 eV per formula unit; magnetic moment = 0.00 μB per cell
1.0
4.709 -0.140 -2.479
-2.992 4.398 -0.224
-0.202 0.133 5.332
Rh Ho Ir
3 2 1
Cartesian
0.758 2.196 1.314
2.254 -0.003 1.426
-0.101 0.066 2.666
2.382 1.559 -1.283
-0.866 2.833 3.911
0.000 0.000 0.000